Record 1
LaSnGeO6 after structural relaxation. Source: the Alexandria database, functional PBE.

Results
N(E_F)   6.9 states/eV per cell
Formation energy without anion corrections   -1.985 eV/atom
Crystal system   trigonal

Cell and atoms, written as POSCAR:
```
LaSnGeO6
1.0
5.285 0.000 0.000
-2.643 4.577 0.000
0.000 0.000 5.194
La Sn Ge O
1 1 1 6
Direct
0.000 0.000 0.000
0.333 0.667 0.500
0.667 0.333 0.500
0.379 0.023 0.711
0.379 0.355 0.289
0.645 0.023 0.289
0.645 0.621 0.711
0.977 0.355 0.711
0.977 0.621 0.289
```

Record 2
Re2Ru after structural relaxation. Source: the Alexandria database, functional PBE.

Results
Energy of formation from the pure elements   38.4 kJ/mol of atoms
N(E_F)   4.8 states/eV per cell
Crystal system   tetragonal
Relative energy among the computed polymorphs   464 meV per atom

Cell and atoms, written as POSCAR:
```
Re2Ru
1.0
-1.616 1.616 4.301
1.616 -1.616 4.301
1.616 1.616 -4.301
Re Ru
2 1
Direct
0.172 0.172 0.000
0.828 0.828 0.000
0.500 0.500 0.000
```

Record 3
Sr2InMo after structural relaxation. Source: the Alexandria database, functional PBE.

Results
Energy of formation from the pure elements   54.6 kJ/mol of atoms
N(E_F)   2.8 states/eV per cell
Crystal system   tetragonal

Cell and atoms, written as POSCAR:
```
Sr2InMo
1.0
5.468 0.000 0.000
0.000 5.468 0.000
0.000 0.000 4.213
Sr In Mo
2 1 1
Direct
0.000 0.500 0.000
0.500 0.000 0.000
0.000 0.000 0.500
0.500 0.500 0.500
```

Record 4
LiAu5 after structural relaxation. Source: the Alexandria database, functional PBE.

Results
Energy of formation from the pure elements   -17.0 kJ/mol of atoms
N(E_F)   1.5 states/eV per cell
Crystal system   tetragonal
Relative energy among the computed polymorphs   64 meV per atom

Cell and atoms, written as POSCAR:
```
LiAu5
1.0
2.921 0.000 0.000
0.000 2.921 0.000
0.000 0.000 12.074
Li Au
1 5
Direct
0.000 0.000 0.000
0.000 0.000 0.326
0.000 0.000 0.674
0.500 0.500 0.148
0.500 0.500 0.500
0.500 0.500 0.852
```

Record 5
HfTi3Ga3 after structural relaxation. Source: the Alexandria database, functional PBE.

Results
Energy of formation from the pure elements   -35.2 kJ/mol of atoms
N(E_F)   8.5 states/eV per cell
Crystal system   hexagonal

Cell and atoms, written as POSCAR:
```
HfTi3Ga3
1.0
7.811 0.000 0.000
-3.905 6.764 0.000
0.000 0.000 4.484
Hf Ti Ga
2 6 6
Direct
0.333 0.667 0.250
0.667 0.333 0.750
0.007 0.228 0.250
0.221 0.993 0.250
0.228 0.221 0.750
0.772 0.779 0.250
0.779 0.007 0.750
0.993 0.772 0.750
0.075 0.453 0.750
0.378 0.925 0.750
0.453 0.378 0.250
0.547 0.622 0.750
0.622 0.075 0.250
0.925 0.547 0.250
```

Record 6
SrLaTh2As4 after structural relaxation. Source: the Alexandria database, functional PBE.

Results
Energy of formation from the pure elements   -138.4 kJ/mol of atoms
N(E_F)   1.9 states/eV per cell
Crystal system   monoclinic

Cell and atoms, written as POSCAR:
```
SrLaTh2As4
1.0
7.494 0.000 0.000
0.000 4.326 0.000
-2.492 0.000 7.116
Sr La Th As
1 1 2 4
Direct
0.000 0.000 0.000
0.500 0.500 0.000
0.000 0.500 0.500
0.500 0.000 0.500
0.249 0.000 0.738
0.259 0.500 0.267
0.741 0.500 0.733
0.751 0.000 0.262
```

Record 7
GaNiPdPt after structural relaxation. Source: the Alexandria database, functional PBE.

Results
Energy of formation from the pure elements   -39.8 kJ/mol of atoms
N(E_F)   3.5 states/eV per cell
Crystal system   cubic

Cell and atoms, written as POSCAR:
```
GaNiPdPt
1.0
0.000 3.039 3.039
3.039 0.000 3.039
3.039 3.039 0.000
Ga Ni Pd Pt
1 1 1 1
Direct
0.000 0.000 0.000
0.500 0.500 0.500
0.750 0.750 0.750
0.250 0.250 0.250
```

Record 8
FePd7Pt3 after structural relaxation. Source: the Alexandria database, functional PBE.

Results
Energy of formation from the pure elements   2.3 kJ/mol of atoms
N(E_F)   15.3 states/eV per cell
Crystal system   trigonal

Cell and atoms, written as POSCAR:
```
FePd7Pt3
1.0
5.510 0.000 0.000
-2.755 4.772 0.000
0.000 0.000 6.705
Fe Pd Pt
1 7 3
Direct
0.000 0.000 0.000
0.333 0.167 0.338
0.333 0.667 0.342
0.502 0.004 0.001
0.502 0.498 0.001
0.833 0.167 0.338
0.833 0.667 0.338
0.996 0.498 0.001
0.165 0.331 0.676
0.165 0.835 0.676
0.669 0.835 0.676
```

Record 9
Ho2Sc2Ir3 after structural relaxation. Source: the Alexandria database, functional PBE.

Results
Energy of formation from the pure elements   -85.6 kJ/mol of atoms
N(E_F)   3.7 states/eV per cell
Crystal system   trigonal

Cell and atoms, written as POSCAR:
```
Ho2Sc2Ir3
1.0
2.305 1.331 7.821
-2.305 1.331 7.821
0.000 -2.662 7.821
Ho Sc Ir
2 2 3
Direct
0.124 0.124 0.124
0.876 0.876 0.876
0.374 0.374 0.374
0.626 0.626 0.626
0.000 0.000 0.000
0.255 0.255 0.255
0.745 0.745 0.745
```

Record 10
Ba3Fe4 after structural relaxation. Source: the Alexandria database, functional PBE.

Results
Energy of formation from the pure elements   59.0 kJ/mol of atoms
N(E_F)   8.2 states/eV per cell
Crystal system   tetragonal

Cell and atoms, written as POSCAR:
```
Ba3Fe4
1.0
-1.732 1.732 15.126
1.732 -1.732 15.126
1.732 1.732 -15.126
Ba Fe
3 4
Direct
0.000 0.000 0.000
0.316 0.316 0.000
0.684 0.684 0.000
0.105 0.105 0.000
0.417 0.417 0.000
0.583 0.583 0.000
0.895 0.895 0.000
```

Record 11
NpPa3Se6 after structural relaxation. Source: the Alexandria database, functional PBE.

Results
N(E_F)   45.9 states/eV per cell
Formation energy without anion corrections   -1.229 eV/atom
Crystal system   monoclinic

Cell and atoms, written as POSCAR:
```
NpPa3Se6
1.0
11.445 0.000 0.000
0.000 4.010 0.000
-3.552 0.000 11.420
Np Pa Se
2 6 12
Direct
0.044 0.250 0.195
0.956 0.750 0.805
0.139 0.250 0.570
0.316 0.750 0.996
0.421 0.250 0.339
0.579 0.750 0.661
0.684 0.250 0.004
0.861 0.750 0.430
0.095 0.750 0.391
0.118 0.250 0.962
0.196 0.750 0.747
0.251 0.750 0.216
0.394 0.250 0.573
0.490 0.250 0.126
0.510 0.750 0.874
0.606 0.750 0.427
0.749 0.250 0.784
0.804 0.250 0.253
0.882 0.750 0.038
0.905 0.250 0.609
```

Record 12
Pm2ScPa after structural relaxation. Source: the Alexandria database, functional PBE.

Results
Energy of formation from the pure elements   17.6 kJ/mol of atoms
N(E_F)   7.5 states/eV per cell
Crystal system   tetragonal
Relative energy among the computed polymorphs   0 meV per atom

Cell and atoms, written as POSCAR:
```
Pm2ScPa
1.0
3.385 0.000 0.000
0.000 3.385 0.000
0.000 0.000 10.118
Pm Sc Pa
2 1 1
Direct
0.000 0.000 0.245
0.000 0.000 0.755
0.500 0.500 0.500
0.500 0.500 0.000
```

Record 13
CePaCuTc after structural relaxation. Source: the Alexandria database, functional PBE.

Results
Energy of formation from the pure elements   -0.9 kJ/mol of atoms
N(E_F)   7.2 states/eV per cell
Crystal system   cubic

Cell and atoms, written as POSCAR:
```
CePaCuTc
1.0
0.000 3.450 3.450
3.450 0.000 3.450
3.450 3.450 0.000
Ce Pa Cu Tc
1 1 1 1
Direct
0.000 0.000 0.000
0.500 0.500 0.500
0.250 0.250 0.250
0.750 0.750 0.750
```

Record 14
Rb3Sm2SnTe6 after structural relaxation. Source: the Alexandria database, functional PBE.

Results
N(E_F)   4.4 states/eV per cell
Formation energy without anion corrections   -1.097 eV/atom
Crystal system   monoclinic

Cell and atoms, written as POSCAR:
```
Rb3Sm2SnTe6
1.0
3.985 -6.901 0.000
3.985 6.901 0.000
-2.660 0.000 8.551
Rb Sm Sn Te
3 2 1 6
Direct
0.000 0.000 0.000
0.332 0.668 0.000
0.668 0.332 0.000
0.166 0.834 0.500
0.834 0.166 0.500
0.500 0.500 0.500
0.104 0.434 0.300
0.237 0.237 0.700
0.434 0.104 0.300
0.566 0.896 0.700
0.763 0.763 0.300
0.896 0.566 0.700
```

Record 15
In2Ag2Au after structural relaxation. Source: the Alexandria database, functional PBE.

Results
Energy of formation from the pure elements   2.2 kJ/mol of atoms
N(E_F)   1.8 states/eV per cell
Crystal system   monoclinic
Relative energy among the computed polymorphs   0 meV per atom

Cell and atoms, written as POSCAR:
```
In2Ag2Au
1.0
4.734 -2.807 0.000
4.734 2.807 0.000
-2.390 0.000 4.123
In Ag Au
2 2 1
Direct
0.188 0.188 0.188
0.812 0.812 0.812
0.241 0.759 0.500
0.759 0.241 0.500
0.500 0.500 0.000
```

Record 16
Li2MnRh after structural relaxation. Source: the Alexandria database, functional PBE.

Results
Energy of formation from the pure elements   10.9 kJ/mol of atoms
N(E_F)   3.1 states/eV per cell
Crystal system   orthorhombic
Relative energy among the computed polymorphs   169 meV per atom

Cell and atoms, written as POSCAR:
```
Li2MnRh
1.0
2.530 -4.086 0.000
2.530 4.086 0.000
0.000 0.000 2.712
Li Mn Rh
2 1 1
Direct
0.000 0.500 0.000
0.500 0.000 0.000
0.000 0.000 0.500
0.500 0.500 0.500
```

Record 17
CuH2O2 after structural relaxation. Source: the Alexandria database, functional PBE.

Results
N(E_F)   2.6 states/eV per cell
Crystal system   tetragonal
Relative energy among the computed polymorphs   280 meV per atom

Cell and atoms, written as POSCAR:
```
CuH2O2
1.0
5.451 0.000 0.000
0.000 5.451 0.000
0.000 0.000 2.424
Cu H O
2 4 4
Direct
0.000 0.000 0.000
0.500 0.500 0.000
0.148 0.352 0.500
0.352 0.852 0.500
0.648 0.148 0.500
0.852 0.648 0.500
0.183 0.317 0.000
0.317 0.817 0.000
0.683 0.183 0.000
0.817 0.683 0.000
```

Record 18
Hf2Pd8Pt after structural relaxation. Source: the Alexandria database, functional PBE.

Results
Energy of formation from the pure elements   -53.3 kJ/mol of atoms
N(E_F)   5.6 states/eV per cell
Crystal system   monoclinic
Relative energy among the computed polymorphs   0 meV per atom

Cell and atoms, written as POSCAR:
```
Hf2Pd8Pt
1.0
7.114 -2.050 0.000
7.114 2.050 0.000
-2.054 0.000 6.147
Hf Pd Pt
2 8 1
Direct
0.217 0.217 0.163
0.783 0.783 0.837
0.042 0.042 0.231
0.146 0.146 0.701
0.324 0.324 0.595
0.404 0.404 0.055
0.596 0.596 0.945
0.676 0.676 0.405
0.854 0.854 0.299
0.958 0.958 0.769
0.500 0.500 0.500
```

Record 19
CaYMg2Rh after structural relaxation. Source: the Alexandria database, functional PBE.

Results
Energy of formation from the pure elements   -24.4 kJ/mol of atoms
N(E_F)   3.3 states/eV per cell
Crystal system   tetragonal

Cell and atoms, written as POSCAR:
```
CaYMg2Rh
1.0
5.181 0.000 0.000
0.000 5.181 0.000
0.000 0.000 5.175
Ca Y Mg Rh
1 1 2 1
Direct
0.000 0.000 0.000
0.500 0.500 0.000
0.000 0.500 0.500
0.500 0.000 0.500
0.500 0.500 0.500
```

Record 20
K3Tl2O4 after structural relaxation. Source: the Alexandria database, functional PBE.

Results
N(E_F)   3.1 states/eV per cell
Formation energy without anion corrections   -1.011 eV/atom
Crystal system   monoclinic

Cell and atoms, written as POSCAR:
```
K3Tl2O4
1.0
5.772 -5.373 0.000
5.772 5.373 0.000
-0.254 0.000 6.452
K Tl O
6 4 8
Direct
0.085 0.915 0.750
0.202 0.577 0.438
0.423 0.798 0.062
0.577 0.202 0.938
0.798 0.423 0.562
0.915 0.085 0.250
0.129 0.342 0.917
0.342 0.129 0.417
0.658 0.871 0.583
0.871 0.658 0.083
0.117 0.259 0.576
0.153 0.618 0.996
0.259 0.117 0.076
0.382 0.847 0.504
0.618 0.153 0.496
0.741 0.883 0.924
0.847 0.382 0.004
0.883 0.741 0.424
```